Entry one
Compound: Nb2HgRh2
Source: Alexandria via LeMat-Bulk
Functional: PBE
Structure: relaxed

Properties
calculated volume	19.7	A^3/atom
space-group type	I4/mmm (139)
DOS at the Fermi energy	0.79	states/eV per cell

Cell lengths 4.415, 4.415, 5.946 Å; angles 68.21, 68.21, 90.00 degrees
Fractional coordinates of all 5 atoms:
Rh1 0.376 0.376 0.247
Nb1 0.250 0.750 0.500
Hg1 0.000 0.000 0.000
Nb2 0.750 0.250 0.500
Rh2 0.624 0.624 0.753

***

Entry two
Compound: Nb2HgRh2
Source: Alexandria via LeMat-Bulk
Functional: PBE
Structure: relaxed

Properties
calculated volume	17.4	A^3/atom
space-group type	P4/mbm (127)
DOS at the Fermi energy	5.65	states/eV per cell

Cell lengths 7.704, 7.704, 2.935 Å; angles 90.00, 90.00, 90.00 degrees
Fractional coordinates of all 10 atoms:
Nb1 0.834 0.334 0.500
Nb2 0.334 0.166 0.500
Nb3 0.666 0.834 0.500
Nb4 0.166 0.666 0.500
Hg1 0.500 0.500 0.000
Hg2 0.000 0.000 0.000
Rh1 0.372 0.872 0.000
Rh2 0.628 0.128 0.000
Rh3 0.872 0.628 0.000
Rh4 0.128 0.372 0.000

***

The structure with the greatest stability is entry two.

***

Entry one
Compound: Nb3HgRh
Source: Alexandria via LeMat-Bulk
Functional: PBE
Structure: relaxed

Properties
calculated volume	22.6	A^3/atom
space-group type	Pm-3m (221)
DOS at the Fermi energy	8.47	states/eV per cell

Cell lengths 4.833, 4.833, 4.833 Å; angles 90.00, 90.00, 90.00 degrees
Fractional coordinates of all 5 atoms:
Hg1 0.500 0.500 0.500
Nb1 0.500 0.000 0.000
Rh1 0.000 0.000 0.000
Nb2 0.000 0.500 0.000
Nb3 0.000 0.000 0.500

***

Entry two
Compound: Nb3HgRh
Source: Alexandria via LeMat-Bulk
Functional: PBE
Structure: relaxed

Properties
calculated volume	24.9	A^3/atom
space-group type	Pm-3m (221)
DOS at the Fermi energy	10.86	states/eV per cell

Cell lengths 4.996, 4.996, 4.996 Å; angles 90.00, 90.00, 90.00 degrees
Fractional coordinates of all 5 atoms:
Rh1 0.500 0.500 0.500
Nb1 0.000 0.500 0.000
Nb2 0.500 0.000 0.000
Nb3 0.000 0.000 0.500
Hg1 0.000 0.000 0.000

***

The structure with the greatest stability is entry one.

***

Entry one
Compound: NbHgRh3
Source: Alexandria via LeMat-Bulk
Functional: PBE
Structure: relaxed

Properties
calculated volume	22.2	A^3/atom
space-group type	Pm-3m (221)
DOS at the Fermi energy	3.41	states/eV per cell

Cell lengths 4.809, 4.809, 4.809 Å; angles 90.00, 90.00, 90.00 degrees
Fractional coordinates of all 5 atoms:
Rh1 0.000 0.000 0.500
Rh2 0.500 0.000 0.000
Hg1 0.000 0.000 0.000
Nb1 0.500 0.500 0.500
Rh3 0.000 0.500 0.000

***

Entry two
Compound: NbHgRh3
Source: Alexandria via LeMat-Bulk
Functional: PBE
Structure: relaxed

Properties
calculated volume	21.4	A^3/atom
space-group type	Pm-3m (221)
DOS at the Fermi energy	1.59	states/eV per cell

Cell lengths 4.745, 4.745, 4.745 Å; angles 90.00, 90.00, 90.00 degrees
Fractional coordinates of all 5 atoms:
Rh1 0.000 0.000 0.500
Hg1 0.500 0.500 0.500
Nb1 0.000 0.000 0.000
Rh2 0.000 0.500 0.000
Rh3 0.500 0.000 0.000

***

The structure with the greatest stability is entry two.

***

Entry one
Compound: NbHgRu2
Source: Alexandria via LeMat-Bulk
Functional: PBE
Structure: relaxed

Properties
calculated volume	24.8	A^3/atom
space-group type	I-42d (122)
DOS at the Fermi energy	7.57	states/eV per cell

Cell lengths 5.859, 5.859, 7.112 Å; angles 65.67, 65.67, 90.00 degrees
Fractional coordinates of all 8 atoms:
Ru1 0.156 0.625 0.250
Ru2 0.594 0.125 0.250
Nb1 0.250 0.750 0.500
Hg1 0.750 0.250 0.500
Ru3 0.875 0.844 0.750
Hg2 0.000 0.000 0.000
Nb2 0.500 0.500 0.000
Ru4 0.375 0.406 0.750

***

Entry two
Compound: NbHgRu2
Source: Alexandria via LeMat-Bulk
Functional: PBE
Structure: relaxed

Properties
calculated volume	16.8	A^3/atom
space-group type	P4/mmm (123)
DOS at the Fermi energy	4.80	states/eV per cell

Cell lengths 3.196, 3.196, 6.578 Å; angles 90.00, 90.00, 90.00 degrees
Fractional coordinates of all 4 atoms:
Ru1 0.000 0.000 0.776
Hg1 0.500 0.500 0.500
Ru2 0.000 0.000 0.224
Nb1 0.500 0.500 0.000

***

Entry three
Compound: NbHgRu2
Source: Alexandria via LeMat-Bulk
Functional: PBE
Structure: relaxed

Properties
calculated volume	16.4	A^3/atom
space-group type	Fm-3m (225)
DOS at the Fermi energy	5.28	states/eV per cell

Cell lengths 4.531, 4.531, 4.531 Å; angles 60.00, 60.00, 60.00 degrees
Fractional coordinates of all 4 atoms:
Ru1 0.750 0.750 0.750
Ru2 0.250 0.250 0.250
Hg1 0.500 0.500 0.500
Nb1 0.000 0.000 0.000

***

The structure with the greatest stability is entry two.

***

Entry one
Compound: Nb2HgRu2
Source: Alexandria via LeMat-Bulk
Functional: PBE
Structure: relaxed

Properties
calculated volume	19.6	A^3/atom
space-group type	I4/mmm (139)
DOS at the Fermi energy	2.00	states/eV per cell

Cell lengths 4.303, 4.303, 6.103 Å; angles 69.36, 69.36, 90.00 degrees
Fractional coordinates of all 5 atoms:
Ru1 0.617 0.617 0.765
Nb1 0.250 0.750 0.500
Ru2 0.383 0.383 0.235
Nb2 0.750 0.250 0.500
Hg1 0.000 0.000 0.000

***

Entry two
Compound: Nb2HgRu2
Source: Alexandria via LeMat-Bulk
Functional: PBE
Structure: relaxed

Properties
calculated volume	17.9	A^3/atom
space-group type	P4/mbm (127)
DOS at the Fermi energy	8.11	states/eV per cell

Cell lengths 7.737, 7.737, 2.982 Å; angles 90.00, 90.00, 90.00 degrees
Fractional coordinates of all 10 atoms:
Hg1 0.500 0.500 0.000
Ru1 0.358 0.142 0.500
Nb1 0.353 0.853 0.000
Nb2 0.853 0.647 0.000
Ru2 0.642 0.858 0.500
Ru3 0.858 0.358 0.500
Nb3 0.147 0.353 0.000
Ru4 0.142 0.642 0.500
Nb4 0.647 0.147 0.000
Hg2 0.000 0.000 0.000

***

Entry three
Compound: Nb2HgRu2
Source: Alexandria via LeMat-Bulk
Functional: PBE
Structure: relaxed

Properties
calculated volume	17.4	A^3/atom
space-group type	P4/mbm (127)
DOS at the Fermi energy	8.23	states/eV per cell

Cell lengths 7.573, 7.573, 3.040 Å; angles 90.00, 90.00, 90.00 degrees
Fractional coordinates of all 10 atoms:
Ru1 0.637 0.137 0.000
Nb1 0.158 0.658 0.500
Nb2 0.842 0.342 0.500
Ru2 0.363 0.863 0.000
Nb3 0.658 0.842 0.500
Ru3 0.863 0.637 0.000
Hg1 0.500 0.500 0.000
Ru4 0.137 0.363 0.000
Hg2 0.000 0.000 0.000
Nb4 0.342 0.158 0.500

***

The structure with the greatest stability is entry three.

***

Entry one
Compound: Nb2HgS
Source: Alexandria via LeMat-Bulk
Functional: PBE
Structure: relaxed

Properties
calculated volume	17.5	A^3/atom
space-group type	Fm-3m (225)
DOS at the Fermi energy	2.33	states/eV per cell

Cell lengths 4.622, 4.622, 4.622 Å; angles 60.00, 60.00, 60.00 degrees
Fractional coordinates of all 4 atoms:
Nb1 0.750 0.750 0.750
Nb2 0.250 0.250 0.250
Hg1 0.500 0.500 0.500
S1 0.000 0.000 0.000

***

Entry two
Compound: Nb2HgS
Source: Alexandria via LeMat-Bulk
Functional: PBE
Structure: relaxed

Properties
calculated volume	19.8	A^3/atom
space-group type	I-42d (122)
DOS at the Fermi energy	6.65	states/eV per cell

Cell lengths 4.105, 4.105, 9.857 Å; angles 77.98, 77.98, 90.00 degrees
Fractional coordinates of all 8 atoms:
Nb1 0.375 0.388 0.750
Nb2 0.138 0.625 0.250
Hg1 0.000 0.000 0.000
Hg2 0.750 0.250 0.500
S1 0.250 0.750 0.500
Nb3 0.875 0.862 0.750
S2 0.500 0.500 0.000
Nb4 0.612 0.125 0.250

***

The structure with the greatest stability is entry one.

***

Entry one
Compound: NbHg3S
Source: Alexandria via LeMat-Bulk
Functional: PBE
Structure: relaxed

Properties
calculated volume	32.2	A^3/atom
space-group type	Pm-3m (221)
DOS at the Fermi energy	4.94	states/eV per cell

Cell lengths 5.440, 5.440, 5.440 Å; angles 90.00, 90.00, 90.00 degrees
Fractional coordinates of all 5 atoms:
Hg1 0.000 0.000 0.500
S1 0.500 0.500 0.500
Nb1 0.000 0.000 0.000
Hg2 0.000 0.500 0.000
Hg3 0.500 0.000 0.000

***

Entry two
Compound: NbHg3S
Source: Alexandria via LeMat-Bulk
Functional: PBE
Structure: relaxed

Properties
calculated volume	27.5	A^3/atom
space-group type	Pm-3m (221)
DOS at the Fermi energy	4.22	states/eV per cell

Cell lengths 5.164, 5.164, 5.164 Å; angles 90.00, 90.00, 90.00 degrees
Fractional coordinates of all 5 atoms:
S1 0.000 0.000 0.000
Nb1 0.500 0.500 0.500
Hg1 0.000 0.000 0.500
Hg2 0.000 0.500 0.000
Hg3 0.500 0.000 0.000

***

The structure with the greatest stability is entry one.

***

Entry one
Compound: NbHgSb3
Source: Alexandria via LeMat-Bulk
Functional: PBE
Structure: relaxed

Properties
calculated volume	32.4	A^3/atom
space-group type	Pm-3m (221)
DOS at the Fermi energy	5.56	states/eV per cell

Cell lengths 5.449, 5.449, 5.449 Å; angles 90.00, 90.00, 90.00 degrees
Fractional coordinates of all 5 atoms:
Nb1 0.500 0.500 0.500
Sb1 0.000 0.000 0.500
Sb2 0.000 0.500 0.000
Hg1 0.000 0.000 0.000
Sb3 0.500 0.000 0.000

***

Entry two
Compound: NbHgSb3
Source: Alexandria via LeMat-Bulk
Functional: PBE
Structure: relaxed

Properties
calculated volume	31.2	A^3/atom
space-group type	Pm-3m (221)
DOS at the Fermi energy	3.25	states/eV per cell

Cell lengths 5.382, 5.382, 5.382 Å; angles 90.00, 90.00, 90.00 degrees
Fractional coordinates of all 5 atoms:
Sb1 0.000 0.500 0.000
Nb1 0.000 0.000 0.000
Sb2 0.500 0.000 0.000
Hg1 0.500 0.500 0.500
Sb3 0.000 0.000 0.500

***

The structure with the greatest stability is entry two.

***

Entry one
Compound: NbHgSbTe2
Source: Alexandria via LeMat-Bulk
Functional: PBE
Structure: relaxed

Properties
calculated volume	32.3	A^3/atom
space-group type	P4/mmm (123)
DOS at the Fermi energy	2.96	states/eV per cell

Cell lengths 5.412, 5.412, 5.507 Å; angles 90.00, 90.00, 90.00 degrees
Fractional coordinates of all 5 atoms:
Te1 0.500 0.000 0.000
Nb1 0.000 0.000 0.000
Hg1 0.500 0.500 0.500
Sb1 0.000 0.000 0.500
Te2 0.000 0.500 0.000

***

Entry two
Compound: NbHgSbTe2
Source: Alexandria via LeMat-Bulk
Functional: PBE
Structure: relaxed

Properties
calculated volume	33.2	A^3/atom
space-group type	P4/mmm (123)
DOS at the Fermi energy	6.73	states/eV per cell

Cell lengths 5.531, 5.531, 5.431 Å; angles 90.00, 90.00, 90.00 degrees
Fractional coordinates of all 5 atoms:
Te1 0.500 0.000 0.000
Nb1 0.500 0.500 0.500
Hg1 0.000 0.000 0.000
Sb1 0.000 0.000 0.500
Te2 0.000 0.500 0.000

***

The structure with the greatest stability is entry one.

***

Entry one
Compound: ScNbHg2
Source: Alexandria via LeMat-Bulk
Functional: PBE
Structure: relaxed

Properties
calculated volume	20.3	A^3/atom
space-group type	P4/mmm (123)
DOS at the Fermi energy	3.78	states/eV per cell

Cell lengths 4.139, 4.428, 4.428 Å; angles 90.00, 90.00, 90.00 degrees
Fractional coordinates of all 4 atoms:
Hg1 0.000 0.500 0.000
Sc1 0.500 0.000 0.000
Hg2 0.000 0.000 0.500
Nb1 0.500 0.500 0.500

***

Entry two
Compound: ScNbHg2
Source: Alexandria via LeMat-Bulk
Functional: PBE
Structure: relaxed

Properties
calculated volume	20.5	A^3/atom
space-group type	Fm-3m (225)
DOS at the Fermi energy	1.81	states/eV per cell

Cell lengths 4.876, 4.876, 4.876 Å; angles 60.00, 60.00, 60.00 degrees
Fractional coordinates of all 4 atoms:
Hg1 0.750 0.750 0.750
Sc1 0.000 0.000 0.000
Nb1 0.500 0.500 0.500
Hg2 0.250 0.250 0.250

***

The structure with the greatest stability is entry one.

***

Entry one
Compound: NbTcHg2Se
Source: Alexandria via LeMat-Bulk
Functional: PBE
Structure: relaxed

Properties
calculated volume	25.8	A^3/atom
space-group type	P4/mmm (123)
DOS at the Fermi energy	5.23	states/eV per cell

Cell lengths 5.304, 4.581, 5.304 Å; angles 90.00, 90.00, 90.00 degrees
Fractional coordinates of all 5 atoms:
Nb1 0.500 0.500 0.500
Tc1 0.000 0.000 0.000
Se1 0.000 0.500 0.000
Hg1 0.000 0.000 0.500
Hg2 0.500 0.000 0.000

***

Entry two
Compound: NbTcHg2Se
Source: Alexandria via LeMat-Bulk
Functional: PBE
Structure: relaxed

Properties
calculated volume	28.0	A^3/atom
space-group type	P4/mmm (123)
DOS at the Fermi energy	4.31	states/eV per cell

Cell lengths 5.424, 4.757, 5.424 Å; angles 90.00, 90.00, 90.00 degrees
Fractional coordinates of all 5 atoms:
Tc1 0.000 0.500 0.000
Se1 0.500 0.500 0.500
Hg1 0.000 0.000 0.500
Nb1 0.000 0.000 0.000
Hg2 0.500 0.000 0.000

***

The structure with the greatest stability is entry one.

***

Entry one
Compound: Nb3SnHg
Source: Alexandria via LeMat-Bulk
Functional: PBE
Structure: relaxed

Properties
calculated volume	25.8	A^3/atom
space-group type	Pm-3m (221)
DOS at the Fermi energy	12.21	states/eV per cell

Cell lengths 5.050, 5.050, 5.050 Å; angles 90.00, 90.00, 90.00 degrees
Fractional coordinates of all 5 atoms:
Hg1 0.000 0.000 0.000
Sn1 0.500 0.500 0.500
Nb1 0.500 0.000 0.000
Nb2 0.000 0.000 0.500
Nb3 0.000 0.500 0.000

***

Entry two
Compound: Nb3SnHg
Source: Alexandria via LeMat-Bulk
Functional: PBE
Structure: relaxed

Properties
calculated volume	25.8	A^3/atom
space-group type	Pm-3m (221)
DOS at the Fermi energy	7.13	states/eV per cell

Cell lengths 5.051, 5.051, 5.051 Å; angles 90.00, 90.00, 90.00 degrees
Fractional coordinates of all 5 atoms:
Sn1 0.000 0.000 0.000
Nb1 0.500 0.000 0.000
Nb2 0.000 0.000 0.500
Nb3 0.000 0.500 0.000
Hg1 0.500 0.500 0.500

***

The structure with the greatest stability is entry two.